Entry 1:
DFT (PBE-GGA) results for LiMg2ScO4 after structural relaxation.

Output
formation energy (no corrections): -2694 meV/atom
DOS at the Fermi energy: 0.000 states/eV/atom
total energy: -6.602 eV/atom

Structure (extended XYZ):
```
16
Lattice="2.970 0.000 0.000 -1.485 5.025 0.000 0.000 0.000 10.502" Properties=species:S:1:pos:R:3 pbc="T T T"
Li 0.000 1.361 2.626
Li 1.485 3.664 7.877
O 0.000 0.000 5.251
O 0.000 2.677 3.951
O 1.485 2.348 9.202
O 0.000 4.790 7.877
O 0.000 2.677 1.300
O 1.485 0.235 2.626
O 0.000 0.000 0.000
O 1.485 2.348 6.552
Mg 1.485 1.286 0.474
Mg 0.000 3.739 5.725
Mg 1.485 1.286 4.777
Mg 0.000 3.739 10.028
Sc 0.000 1.272 7.877
Sc 1.485 3.753 2.626
```

=====

Entry 2:
DFT (PBE-GGA) results for HgRu2Cl after structural relaxation.

Output
formation energy (no corrections): 1104 meV/atom
DOS at the Fermi energy: 1.581 states/eV/atom
energy above the most stable polymorph in this dataset: 897.9 meV per atom
total energy: -4.071 eV/atom

Structure (extended XYZ):
```
4
Lattice="0.000 3.214 3.214 3.214 0.000 3.214 3.214 3.214 0.000" Properties=species:S:1:pos:R:3 pbc="T T T"
Ru 4.821 4.821 4.821
Ru 1.607 1.607 1.607
Cl 0.000 0.000 0.000
Hg 3.214 3.214 3.214
```

=====

Entry 3:
DFT (PBE-GGA) results for Sb2TeSeCl after structural relaxation.

Output
formation energy (no corrections): 923 meV/atom
DOS at the Fermi energy: 1.191 states/eV/atom
energy above the most stable polymorph in this dataset: 385.6 meV per atom
total energy: -2.420 eV/atom

Structure (extended XYZ):
```
5
Lattice="5.339 0.000 0.000 0.000 5.339 0.000 0.000 0.000 5.423" Properties=species:S:1:pos:R:3 pbc="T T T"
Te 0.000 0.000 2.711
Se 2.670 2.670 2.711
Cl 0.000 0.000 0.000
Sb 2.670 0.000 0.000
Sb 0.000 2.670 0.000
```

=====

Entry 4:
DFT (PBE-GGA) results for Nd4Y15Er after structural relaxation.

Output
DOS at the Fermi energy: 1.466 states/eV/atom
total energy: -6.008 eV/atom
ΔH_f (0 K): 0.02 eV/atom

Structure (extended XYZ):
```
20
Lattice="5.082 0.000 0.000 0.000 5.082 0.000 0.000 0.000 25.330" Properties=species:S:1:pos:R:3 pbc="T T T"
Y 2.541 0.000 2.488
Y 0.000 2.541 2.488
Y 0.000 2.541 17.756
Y 2.541 2.541 0.000
Y 2.541 2.541 10.121
Y 2.541 2.541 5.027
Y 2.541 0.000 12.665
Y 2.541 2.541 20.303
Y 0.000 2.541 12.665
Y 0.000 2.541 7.574
Y 2.541 0.000 22.842
Y 0.000 2.541 22.842
Y 2.541 0.000 7.574
Y 2.541 0.000 17.756
Y 2.541 2.541 15.209
Nd 0.000 0.000 15.210
Nd 0.000 0.000 10.119
Nd 0.000 0.000 5.042
Nd 0.000 0.000 20.288
Er 0.000 0.000 0.000
```

=====

Entry 5:
DFT (PBE-GGA) results for Tb12Ni5Pb after structural relaxation.

Output
DOS at the Fermi energy: 0.981 states/eV/atom
total energy: -5.241 eV/atom
ΔH_f (0 K): -0.34 eV/atom

Structure (extended XYZ):
```
18
Lattice="7.816 0.035 -3.040 -4.028 6.934 -2.457 -0.059 -0.035 8.386" Properties=species:S:1:pos:R:3 pbc="T T T"
Ni 1.391 2.558 -2.018
Ni 0.000 0.000 0.000
Ni 3.373 0.854 3.407
Ni 2.398 4.411 -3.479
Ni 0.357 6.080 -0.518
Tb -2.417 5.673 0.120
Tb 1.067 2.214 3.543
Tb 2.981 1.261 0.588
Tb 2.663 4.719 -0.654
Tb 3.855 4.164 2.708
Tb -2.511 6.797 3.643
Tb 6.240 0.137 -0.754
Tb -0.396 4.684 5.665
Tb 0.748 5.673 2.301
Tb -0.125 2.770 0.181
Tb 6.147 1.261 2.769
Tb 4.126 2.250 -2.776
Pb -2.043 3.449 2.965
```

=====

Entry 6:
DFT (PBE-GGA) results for SrOs2Ru after structural relaxation.

Output
DOS at the Fermi energy: 1.451 states/eV/atom
energy above the most stable polymorph in this dataset: 73.6 meV per atom
total energy: -7.675 eV/atom
ΔH_f (0 K): 0.68 eV/atom

Structure (extended XYZ):
```
4
Lattice="4.258 0.000 0.000 0.000 2.844 0.025 0.000 1.363 6.240" Properties=species:S:1:pos:R:3 pbc="T T T"
Os 0.000 0.173 0.573
Os 2.129 1.587 1.422
Ru 0.000 1.573 2.808
Sr 2.129 2.978 4.595
```